(1)
The following is a PBE-GGA calculation of a geometry-optimized InRe2W structure, from Alexandria via LeMat-Bulk. Values from VASP.

Properties
uncorrected energy: -9.538 eV per atom
magnetization: 0.00 μB/f.u.
crystal system: cubic

The structure in Quantum ESPRESSO input format:
```
&SYSTEM
  ibrav = 0, nat = 4, ntyp = 3
/
ATOMIC_SPECIES
Re 186.21 Re.upf
In 114.82 In.upf
W 183.84 W.upf
ATOMIC_POSITIONS angstrom
Re 0.000 0.000 0.000
Re 2.265 1.308 0.925
In 4.530 2.615 1.849
W 6.794 3.923 2.774
CELL_PARAMETERS angstrom
4.530 0.000 0.000
2.265 3.923 0.000
2.265 1.308 3.698
```

(2)
The following is a PBE-GGA calculation of a geometry-optimized KSb2Pd structure, from Alexandria via LeMat-Bulk. Values from VASP.

Properties
energy above the lowest structure with this stoichiometry: 0.0 meV per atom
magnetization: 0.00 μB/f.u.
crystal system: trigonal

The structure in Quantum ESPRESSO input format:
```
&SYSTEM
  ibrav = 0, nat = 4, ntyp = 3
/
ATOMIC_SPECIES
K 39.10 K.upf
Sb 121.76 Sb.upf
Pd 106.42 Pd.upf
ATOMIC_POSITIONS angstrom
K 4.333 2.502 3.742
Sb 2.166 1.251 1.086
Pd 6.499 3.752 7.339
Sb 2.166 1.251 6.263
CELL_PARAMETERS angstrom
4.333 0.000 0.000
2.166 3.752 0.000
2.166 1.251 7.372
```

(3)
The following is a PBE-GGA calculation of a geometry-optimized CaMgH structure, from Alexandria via LeMat-Bulk. Values from VASP.

Properties
energy above the lowest structure with this stoichiometry: 78.4 meV per atom
magnetization: 0.00 μB/f.u.
crystal system: orthorhombic

The structure in Quantum ESPRESSO input format:
```
&SYSTEM
  ibrav = 0, nat = 12, ntyp = 3
/
ATOMIC_SPECIES
Ca 40.08 Ca.upf
Mg 24.30 Mg.upf
H 1.01 H.upf
ATOMIC_POSITIONS angstrom
Ca 2.894 7.338 4.834
Mg 0.965 10.345 4.884
Ca 0.965 4.315 4.834
H 0.965 10.949 1.300
H 0.965 6.530 4.061
Mg 2.894 4.519 2.124
Mg 2.894 1.308 4.884
H 2.894 5.123 4.061
Ca 2.894 10.141 2.073
Mg 0.965 7.134 2.124
H 2.894 0.704 1.300
Ca 0.965 1.511 2.073
CELL_PARAMETERS angstrom
3.859 0.000 0.000
0.000 11.653 0.000
0.000 0.000 5.521
```

(4)
The following is a PBE-GGA calculation of a geometry-optimized ScTl3Te2O9 structure, from Alexandria via LeMat-Bulk. Values from VASP.

Properties
uncorrected energy: -5.492 eV per atom
magnetization: 0.00 μB/f.u.
crystal system: trigonal

The structure in Quantum ESPRESSO input format:
```
&SYSTEM
  ibrav = 0, nat = 15, ntyp = 4
/
ATOMIC_SPECIES
O 16.00 O.upf
Te 127.60 Te.upf
Tl 204.38 Tl.upf
Sc 44.96 Sc.upf
ATOMIC_POSITIONS angstrom
O -2.020 0.237 2.085
Te -4.625 3.913 3.065
Te -2.968 -1.356 1.508
Tl 0.000 0.000 0.000
Tl -3.965 0.624 4.238
O -2.904 3.023 2.955
O -2.783 -0.732 -0.486
Sc -1.013 2.011 2.773
O -1.137 -2.357 1.294
O -3.110 -2.023 3.325
Tl -3.628 1.934 0.335
O -5.573 2.321 2.489
O -1.647 1.625 -1.780
O -4.483 4.581 1.248
O -4.689 -0.465 1.618
CELL_PARAMETERS angstrom
-3.293 3.249 -3.560
-2.273 -4.713 2.587
-2.027 4.022 5.546
```

(5)
The following is a PBE-GGA calculation of a geometry-optimized Be4CrP structure, from Alexandria via LeMat-Bulk. Values from VASP.

Properties
uncorrected energy: -4.930 eV per atom
magnetization: 0.00 μB/f.u.
crystal system: cubic

The structure in Quantum ESPRESSO input format:
```
&SYSTEM
  ibrav = 0, nat = 6, ntyp = 3
/
ATOMIC_SPECIES
Be 9.01 Be.upf
Cr 52.00 Cr.upf
P 30.97 P.upf
ATOMIC_POSITIONS angstrom
Be 3.717 3.717 2.253
Be 2.253 3.717 3.717
Cr 4.477 4.477 4.477
P 0.000 0.000 0.000
Be 3.717 2.253 3.717
Be 2.253 2.253 2.253
CELL_PARAMETERS angstrom
0.000 2.985 2.985
2.985 0.000 2.985
2.985 2.985 0.000
```

(6)
The following is a PBE-GGA calculation of a geometry-optimized H8Ir2I structure, from Alexandria via LeMat-Bulk. Values from VASP.

Properties
uncorrected energy: -4.005 eV per atom
magnetization: 0.00 μB/f.u.
crystal system: monoclinic

The structure in Quantum ESPRESSO input format:
```
&SYSTEM
  ibrav = 0, nat = 11, ntyp = 3
/
ATOMIC_SPECIES
I 126.90 I.upf
Ir 192.22 Ir.upf
H 1.01 H.upf
ATOMIC_POSITIONS angstrom
I 0.683 4.759 2.952
Ir 3.124 1.589 2.780
H 4.693 1.633 2.747
Ir 3.082 3.240 0.128
H 3.270 0.505 1.428
H 3.244 1.550 -0.251
H 3.203 4.329 1.480
H 2.216 2.400 1.459
H 3.954 2.430 1.450
H 4.652 3.252 0.147
H 3.229 3.284 3.158
CELL_PARAMETERS angstrom
5.957 0.086 -0.041
-0.085 4.428 -1.798
0.018 0.342 4.768
```

(7)
The following is a PBE-GGA calculation of a geometry-optimized BeC2 structure, from Alexandria via LeMat-Bulk. Values from VASP.

Properties
energy above the lowest structure with this stoichiometry: 168.2 meV per atom
magnetization: 0.00 μB/f.u.
crystal system: orthorhombic

The structure in Quantum ESPRESSO input format:
```
&SYSTEM
  ibrav = 0, nat = 12, ntyp = 2
/
ATOMIC_SPECIES
C 12.01 C.upf
Be 9.01 Be.upf
ATOMIC_POSITIONS angstrom
C 1.847 3.296 8.319
C 0.616 2.579 8.267
C 1.847 1.413 11.608
C 1.847 1.186 5.017
Be 1.847 3.170 11.630
C 0.616 0.470 4.966
C 1.847 3.069 1.625
Be 0.616 0.595 1.655
C 0.616 2.352 1.677
Be 0.616 2.478 4.987
C 0.616 0.696 11.660
Be 1.847 1.288 8.297
CELL_PARAMETERS angstrom
2.463 0.000 0.000
0.000 3.765 0.000
0.000 0.000 13.284
```

(8)
The following is a PBE-GGA calculation of a geometry-optimized AgMo2SeI structure, from Alexandria via LeMat-Bulk. Values from VASP.

Properties
uncorrected energy: -4.223 eV per atom
magnetization: 8.94 μB/f.u.
crystal system: tetragonal

The structure in Quantum ESPRESSO input format:
```
&SYSTEM
  ibrav = 0, nat = 5, ntyp = 4
/
ATOMIC_SPECIES
Se 78.96 Se.upf
Mo 95.94 Mo.upf
I 126.90 I.upf
Ag 107.87 Ag.upf
ATOMIC_POSITIONS angstrom
Se 0.000 2.385 0.000
Mo 0.000 0.000 2.763
I 2.763 2.385 2.763
Mo 2.763 0.000 0.000
Ag 0.000 0.000 0.000
CELL_PARAMETERS angstrom
5.526 0.000 0.000
0.000 4.769 0.000
0.000 0.000 5.526
```

(9)
The following is a PBE-GGA calculation of a geometry-optimized Tb9YSc2 structure, from Alexandria via LeMat-Bulk. Values from VASP.

Properties
uncorrected energy: -5.032 eV per atom
magnetization: 0.00 μB/f.u.
crystal system: tetragonal

The structure in Quantum ESPRESSO input format:
```
&SYSTEM
  ibrav = 0, nat = 12, ntyp = 3
/
ATOMIC_SPECIES
Tb 158.93 Tb.upf
Y 88.91 Y.upf
Sc 44.96 Sc.upf
ATOMIC_POSITIONS angstrom
Tb 0.000 2.485 2.553
Tb 2.485 0.000 7.437
Y 0.000 0.000 0.000
Sc 0.000 0.000 4.991
Tb 2.485 2.485 0.000
Sc 0.000 0.000 9.883
Tb 2.485 2.485 9.873
Tb 2.485 0.000 2.553
Tb 0.000 2.485 12.321
Tb 2.485 0.000 12.321
Tb 0.000 2.485 7.437
Tb 2.485 2.485 5.001
CELL_PARAMETERS angstrom
4.971 0.000 0.000
0.000 4.971 0.000
0.000 0.000 14.875
```

(10)
The following is a PBE-GGA calculation of a geometry-optimized RbTaGaI2 structure, from Alexandria via LeMat-Bulk. Values from VASP.

Properties
uncorrected energy: -3.109 eV per atom
magnetization: 1.88 μB/f.u.
crystal system: tetragonal

The structure in Quantum ESPRESSO input format:
```
&SYSTEM
  ibrav = 0, nat = 5, ntyp = 4
/
ATOMIC_SPECIES
Ta 180.95 Ta.upf
I 126.90 I.upf
Rb 85.47 Rb.upf
Ga 69.72 Ga.upf
ATOMIC_POSITIONS angstrom
Ta 0.000 0.000 0.000
I 0.000 0.000 2.741
I 2.741 0.000 0.000
Rb 0.000 3.676 0.000
Ga 2.741 3.676 2.741
CELL_PARAMETERS angstrom
5.481 0.000 0.000
0.000 7.352 0.000
0.000 0.000 5.481
```

(11)
The following is a PBE-GGA calculation of a geometry-optimized LaWS2 structure, from Alexandria via LeMat-Bulk. Values from VASP.

Properties
energy above the lowest structure with this stoichiometry: 0.0 meV per atom
magnetization: 0.00 μB/f.u.
crystal system: tetragonal

The structure in Quantum ESPRESSO input format:
```
&SYSTEM
  ibrav = 0, nat = 8, ntyp = 3
/
ATOMIC_SPECIES
W 183.84 W.upf
S 32.06 S.upf
La 138.91 La.upf
ATOMIC_POSITIONS angstrom
W -5.472 -2.180 3.642
W 0.000 0.000 0.000
S -4.569 -0.904 1.930
S -7.184 -6.594 5.375
S -1.178 -3.977 1.706
S -4.114 -3.196 5.224
La -3.051 -5.155 3.475
La -2.971 -2.426 0.154
CELL_PARAMETERS angstrom
-5.392 0.548 0.320
-0.550 -5.401 -0.013
-2.581 -2.482 6.810
```

- Which value of magnetization does entry 2 give?
  0.00 μB/f.u.